! NdHfAl (PBE, relaxed); values from VASP
&SYSTEM
  ibrav = 0, nat = 6, ntyp = 3
/
ATOMIC_SPECIES
Nd 144.24 Nd.upf
Hf 178.49 Hf.upf
Al 26.98 Al.upf
ATOMIC_POSITIONS crystal
Nd 0.000 0.000 0.000
Nd 0.500 0.500 0.500
Hf 0.000 0.000 0.303
Hf 0.500 0.500 0.803
Al 0.000 0.000 0.668
Al 0.500 0.500 0.168
CELL_PARAMETERS angstrom
3.199 0.000 0.000
0.000 3.199 0.000
0.000 0.000 13.971
! - Fermi-level density of states (states/eV/cell) = 4.4
! - E_tot (hartree per atom) = -0.230
! - V (Å³ per atom) = 23.8
! - E above lowest polymorph (meV per atom) = 0.0
! - formation enthalpy at 0 K (meV/atom) = -95